A geometry-optimized Ac5PmIn4 structure. Source: the Alexandria database, functional PBE-GGA.

Cell: 3.9053 3.9053 23.4359 Å, 90.00 90.00 90.00°
Fractional positions:
Ac 0.5000 0.5000 0.6938
Ac 0.5000 0.5000 0.3062
Ac 0.5000 0.5000 0.8858
Ac 0.5000 0.5000 0.1142
Ac 0.5000 0.5000 0.5000
In 0.0000 0.0000 0.2097
In 0.0000 0.0000 0.4029
In 0.0000 0.0000 0.5971
In 0.0000 0.0000 0.7903
Pm 0.0000 0.0000 0.0000

Summary:
The value obtained for the density of states at the Fermi level is 11.6 states/eV/f.u. As for the space group: P4/mmm, No. 123. The calculation puts the formation energy at -0.314 eV/atom.